First-principles (PBE-GGA) data for a relaxed YBeTl crystal, as listed in Alexandria via LeMat-Bulk.

Structure (CIF):
```
data_YBeTl
_chemical_formula_sum 'Y2 Be2 Tl2'
_cell_length_a 5.0267
_cell_length_b 5.0267
_cell_length_c 6.1573
_cell_angle_alpha 90.00
_cell_angle_beta 90.00
_cell_angle_gamma 120.00
_space_group_name_H-M_alt 'P 1'
_space_group_IT_number 1
_space_group_name_Hall 'P 1'
loop_
_atom_site_label
_atom_site_fract_x
_atom_site_fract_y
_atom_site_fract_z
Y1 0.6667 0.3333 0.2500
Y2 0.3333 0.6667 0.7500
Be1 0.0000 0.0000 0.0000
Be2 0.0000 0.0000 0.5000
Tl1 0.6667 0.3333 0.7500
Tl2 0.3333 0.6667 0.2500
```

Summary:
For the formation energy from the elements, the calculation gives 0.229 eV per atom. Its crystal system is hexagonal. For the energy above the most stable polymorph in this dataset, the calculation gives 348 meV per atom.